Compound: MoAs2I
Source: the Alexandria database
Functional: PBE
Structure: optimized geometry

Results
Symmetry: No. 122
Magnetic moment, μB per formula unit: 0.00
Relative energy among the computed polymorphs, meV/atom: 0.0
Formation energy without anion corrections, eV per atom: 0.475
Uncorrected energy, eV per atom: -4.945

a = 6.6360 Å, b = 6.6360 Å, c = 11.3012 Å
α = 90.00°, β = 90.00°, γ = 90.00°
Closest atoms and distances in Å follow each position.
Fractional positions:
Mo1 0.0000 0.0000 0.0000  4 As 2.39
Mo2 0.0000 0.5000 0.2500  4 As 2.39
Mo3 0.5000 0.0000 0.7500  4 As 2.39
Mo4 0.5000 0.5000 0.5000  4 As 2.39
As1 0.1490 0.2500 0.1250  2 Mo 2.39
As2 0.2500 0.6490 0.3750  2 Mo 2.39
As3 0.2500 0.8510 0.8750  2 Mo 2.39
As4 0.3510 0.2500 0.6250  2 Mo 2.39
As5 0.6490 0.7500 0.6250  2 Mo 2.39
As6 0.7500 0.1490 0.8750  2 Mo 2.39
As7 0.7500 0.3510 0.3750  2 Mo 2.39
As8 0.8510 0.7500 0.1250  2 Mo 2.39
I1 0.0000 0.0000 0.5000  4 As 3.19
I2 0.0000 0.5000 0.7500  4 As 3.19
I3 0.5000 0.0000 0.2500  4 As 3.19
I4 0.5000 0.5000 0.0000  4 As 3.19